Entry 1:
Ba3USe6 | PBE | optimized geometry

Output
The polymorph energy (0 for the lowest one) is 43 meV/atom. For the raw formation energy, the calculation gives -1.61 eV per atom. Its space-group type is P2_1/c, No. 14. Its total magnetization is 0.00 Bohr magnetons per cell. The volume is 699.3 Å³/cell.

abc: 7.631 8.265 13.441
angles: 90.00 124.42 90.00
Element x y z (fractional)
Ba 0.000 0.000 0.000
Ba 0.000 0.500 0.500
Ba 0.217 0.081 0.747
Ba 0.217 0.419 0.247
Ba 0.783 0.581 0.753
Ba 0.783 0.919 0.253
U 0.500 0.000 0.500
U 0.500 0.500 0.000
Se 0.158 0.174 0.445
Se 0.158 0.326 0.945
Se 0.265 0.722 0.428
Se 0.265 0.778 0.928
Se 0.397 0.048 0.274
Se 0.397 0.452 0.774
Se 0.603 0.548 0.226
Se 0.603 0.952 0.726
Se 0.735 0.222 0.072
Se 0.735 0.278 0.572
Se 0.842 0.674 0.055
Se 0.842 0.826 0.555

Entry 2:
Ba3USe7 | PBE | optimized geometry

Output
For the raw formation energy, the calculation gives -1.40 eV per atom. Its space-group type is Cm, No. 8. Its total magnetization is 0.88 Bohr magnetons per cell. The volume is 374.6 Å³/cell.

abc: 7.953 7.953 8.136
angles: 119.36 119.36 88.70
Element x y z (fractional)
Ba 0.000 0.000 0.000
Ba 0.279 0.730 0.467
Ba 0.730 0.279 0.467
U 0.563 0.563 0.018
Se 0.161 0.587 0.953
Se 0.366 0.366 0.557
Se 0.374 0.871 0.970
Se 0.587 0.161 0.953
Se 0.680 0.680 0.444
Se 0.871 0.374 0.970
Se 0.882 0.882 0.253

Entry 3:
BaUSe3 | PBE | optimized geometry

Output
For the raw formation energy, the calculation gives -1.49 eV per atom. Its space-group type is C2/m, No. 12. Its total magnetization is 4.00 Bohr magnetons per cell. The volume is 334.0 Å³/cell.

abc: 8.609 8.609 9.414
angles: 93.50 93.50 28.67
Element x y z (fractional)
Ba 0.105 0.105 0.409
Ba 0.895 0.895 0.591
U 0.312 0.312 0.159
U 0.688 0.688 0.841
Se 0.151 0.151 0.027
Se 0.248 0.248 0.674
Se 0.453 0.453 0.327
Se 0.547 0.547 0.673
Se 0.752 0.752 0.326
Se 0.849 0.849 0.973

Entry 4:
Ba2UZnSe5 | PBE | optimized geometry

Output
For the raw formation energy, the calculation gives -1.47 eV per atom. Its space-group type is Cmc2_1, No. 36. Its total magnetization is 4.00 Bohr magnetons per cell. The volume is 542.9 Å³/cell.

abc: 9.703 9.703 13.356
angles: 90.00 90.00 154.42
Element x y z (fractional)
Ba 0.115 0.885 0.500
Ba 0.123 0.877 0.132
Ba 0.877 0.123 0.632
Ba 0.885 0.115 0.000
U 0.202 0.798 0.829
U 0.798 0.202 0.329
Zn 0.440 0.560 0.247
Zn 0.560 0.440 0.747
Se 0.053 0.947 0.849
Se 0.294 0.706 0.470
Se 0.308 0.692 0.184
Se 0.349 0.651 0.818
Se 0.499 0.501 0.087
Se 0.501 0.499 0.587
Se 0.651 0.349 0.318
Se 0.692 0.308 0.684
Se 0.706 0.294 0.970
Se 0.947 0.053 0.349

Entry 5:
Ba2UZnSe6 | PBE | optimized geometry

Output
For the raw formation energy, the calculation gives -1.32 eV per atom. Its space-group type is P2_1/c, No. 14. Its total magnetization is 0.00 Bohr magnetons per cell. The volume is 580.4 Å³/cell.

abc: 7.345 7.551 12.737
angles: 90.00 124.76 90.00
Element x y z (fractional)
Ba 0.230 0.062 0.247
Ba 0.230 0.438 0.747
Ba 0.770 0.562 0.253
Ba 0.770 0.938 0.753
U 0.500 0.000 0.000
U 0.500 0.500 0.500
Zn 0.000 0.000 0.500
Zn 0.000 0.500 0.000
Se 0.170 0.207 0.964
Se 0.170 0.293 0.464
Se 0.261 0.706 0.966
Se 0.261 0.794 0.466
Se 0.316 0.003 0.747
Se 0.316 0.497 0.247
Se 0.684 0.503 0.753
Se 0.684 0.997 0.253
Se 0.739 0.206 0.534
Se 0.739 0.294 0.034
Se 0.830 0.707 0.536
Se 0.830 0.793 0.036

Entry 6:
BaUZnSe4 | PBE | optimized geometry

Output
For the raw formation energy, the calculation gives -1.21 eV per atom. Its space-group type is P2_1/m, No. 11. Its total magnetization is 4.00 Bohr magnetons per cell. The volume is 395.2 Å³/cell.

abc: 6.714 6.981 8.887
angles: 90.00 108.42 90.00
Element x y z (fractional)
Ba 0.238 0.250 0.054
Ba 0.762 0.750 0.946
U 0.223 0.250 0.555
U 0.777 0.750 0.445
Zn 0.231 0.750 0.328
Zn 0.769 0.250 0.672
Se 0.026 0.515 0.717
Se 0.026 0.985 0.717
Se 0.431 0.750 0.144
Se 0.469 0.750 0.595
Se 0.531 0.250 0.405
Se 0.569 0.250 0.856
Se 0.974 0.015 0.283
Se 0.974 0.485 0.283

VASP energy values (in eV/atom) by entry order: -5.411 -5.168 -6.218 -5.232 -5.047 -5.270.